No. 1
VASP calculation (PBE-GGA) on an optimized crystal structure of YAsSe2.

Cell lengths 4.051, 4.051, 10.805 Å; angles 90.00, 90.00, 90.00 degrees
Space group I-4m2 (No. 119)
Inequivalent atoms, fractional coordinates:
Y 0.000 0.000 0.000
As 0.000 0.500 0.750
Se 0.000 0.000 0.500
Se 0.000 0.500 0.250

Output
Final energy: -42.430 eV/cell



No. 2
VASP calculation (PBE-GGA) on an optimized crystal structure of Y5As2Se2.

Cell lengths 14.535, 7.653, 7.688 Å; angles 90.00, 90.00, 90.00 degrees
Space group Cmce (No. 64)
Inequivalent atoms, fractional coordinates:
Y 0.000 0.000 0.000
Y 0.135 0.159 0.344
As 0.000 0.146 0.645
Se 0.198 0.000 0.000

Output
Final energy: -243.569 eV/cell